Entry 1:
Below is a PBEsol-optimized structure of CrFeAg, with properties calculated at the meta-GGA SCAN level.

Cell lengths 2.704, 2.704, 10.577 Å; angles 90.00, 90.00, 90.00 degrees
Space group I4mm (No. 107)
Inequivalent atoms, fractional coordinates:
Cr: 0.000 0.000 0.000
Fe: 0.000 0.000 0.617
Ag: 0.000 0.000 0.305

Results
ΔE_f: 434 meV per atom

Entry 2:
Below is a PBEsol-optimized structure of KAl2Ir, with properties calculated at the meta-GGA SCAN level.

Cell lengths 2.981, 4.704, 5.158 Å; angles 90.00, 90.00, 90.00 degrees
Space group Pmmm (No. 47)
Inequivalent atoms, fractional coordinates:
K: 0.000 0.000 0.000
Al: 0.000 0.500 0.500
Al: 0.500 0.500 0.000
Ir: 0.500 0.000 0.500

Results
Polymorph energy (0 for the lowest one): 825.3 meV/atom
ΔE_f: 597 meV per atom

Entry 3:
Below is a PBEsol-optimized structure of TcNiAg3, with properties calculated at the meta-GGA SCAN level.

Cell lengths 4.598, 4.598, 4.598 Å; angles 90.00, 90.00, 90.00 degrees
Space group Pm-3m (No. 221)
Inequivalent atoms, fractional coordinates:
Tc: 0.000 0.000 0.000
Ni: 0.500 0.500 0.500
Ag: 0.000 0.500 0.500

Results
ΔE_f: 1330 meV per atom

Entry 4:
Below is a PBEsol-optimized structure of NaPr8Se12, with properties calculated at the meta-GGA SCAN level.

Cell lengths 8.858, 8.858, 26.660 Å; angles 90.00, 90.00, 90.00 degrees
Space group I-42d (No. 122)
Inequivalent atoms, fractional coordinates:
Na: 0.000 0.000 0.000
Pr: 0.000 0.000 0.333
Pr: 0.120 0.750 0.125
Pr: 0.128 0.747 0.459
Se: 0.075 0.678 0.352
Se: 0.076 0.673 0.683
Se: 0.078 0.674 0.015

Results
Energy relative to the elements, uncorrected: -2099 meV per atom

Number 1: M_tot 0.72 μB/f.u., DOS at the Fermi energy 0.5796 states/eV per atom. Number 2: M_tot 0.00 μB/f.u., DOS at the Fermi energy 0.4546 states/eV per atom. Number 3: M_tot 4.60 μB/f.u., DOS at the Fermi energy 0.7231 states/eV per atom. Number 4: M_tot 0.00 μB/f.u., DOS at the Fermi energy 0.3032 states/eV per atom.